# SrCu2Hg | Alexandria | PBE | relaxed
# **Calculated volume**: 100 Å³/f.u.
# **Magnetic moment**: 0.000 μB/f.u.
# **Distance to the lowest polymorph of the same formula**: 0.45 eV per formula unit
# **Crystal system**: orthorhombic
# **ρ**: 6.92 g/cm³
data_SrCu2Hg
_cell_length_a 4.274
_cell_length_b 4.577
_cell_length_c 5.092
_cell_angle_alpha 90.00
_cell_angle_beta 90.00
_cell_angle_gamma 90.00
_symmetry_space_group_name_H-M 'P m m m'
_symmetry_Int_Tables_number 47
loop_
_symmetry_equiv_pos_as_xyz
'x,y,z'
'-x,-y,-z'
'-x,-y,z'
'x,y,-z'
'x,-y,-z'
'-x,y,z'
'-x,y,-z'
'x,-y,z'
loop_
_atom_site_label
_atom_site_type_symbol
_atom_site_fract_x
_atom_site_fract_y
_atom_site_fract_z
_atom_site_occupancy
Sr1 Sr 0.000 0.000 0.000 1
Cu1 Cu 0.500 0.500 0.241 1
Hg1 Hg 0.500 0.000 0.500 1